Record 1
# NdDy2Mg | Alexandria via LeMat-Bulk | PBE | relaxed
# Energy above the lowest structure with this stoichiometry   79 meV/atom
# E_tot   -3.843 eV per atom
# N(E_F)   11.634 states/eV/cell
# Formation energy from the elements   48.5 meV/atom
# Total moment   0.000 μB/f.u.
data_NdDy2Mg
_symmetry_space_group_name_H-M 'C 1 m 1'
_symmetry_Int_Tables_number 8
_cell_length_a 6.153
_cell_length_b 3.533
_cell_length_c 11.547
_cell_angle_alpha 90.00
_cell_angle_beta 100.32
_cell_angle_gamma 90.00
loop_
_symmetry_equiv_pos_as_xyz
'x,y,z'
'x,-y,z'
'x+1/2,y+1/2,z'
'x+1/2,-y+1/2,z'
loop_
_atom_site_label
_atom_site_type_symbol
_atom_site_fract_x
_atom_site_fract_y
_atom_site_fract_z
Nd1 Nd 0.000 0.000 0.000
Dy1 Dy 0.081 0.500 0.743
Dy2 Dy 0.421 0.000 0.260
Mg1 Mg 0.171 0.000 0.501

=====

Record 2
# Tm2CuBr | Alexandria via LeMat-Bulk | PBE | relaxed
# Energy above the lowest structure with this stoichiometry   26 meV/atom
# E_tot   -4.252 eV per atom
# N(E_F)   9.666 states/eV/cell
# Formation energy (no corrections)   -55.4 kJ per mole of atoms
# Total moment   0.000 μB/f.u.
data_Tm2CuBr
_symmetry_space_group_name_H-M 'R 3 m'
_symmetry_Int_Tables_number 160
_symmetry_space_group_name_Hall 'R 3 -2"'
_cell_length_a 3.8846
_cell_length_b 3.8846
_cell_length_c 22.9032
_cell_angle_alpha 90.00
_cell_angle_beta 90.00
_cell_angle_gamma 120.00
loop_
_atom_site_label
_atom_site_type_symbol
_atom_site_fract_x
_atom_site_fract_y
_atom_site_fract_z
Tm1 Tm 0.0000 0.0000 0.0000
Tm2 Tm 0.0000 0.0000 0.1989
Cu1 Cu 0.0000 0.0000 0.5989
Br1 Br 0.0000 0.0000 0.7683

=====

Record 3
# RbScP2O | Alexandria via LeMat-Bulk | PBE | relaxed
# Energy above the lowest structure with this stoichiometry   0 meV/atom
# E_tot   -5.125 eV per atom
# N(E_F)   3.554 states/eV/cell
# Formation energy (no corrections)   -49.1 kJ per mole of atoms
# Total moment   2.085 μB/f.u.
data_RbScP2O
_symmetry_space_group_name_H-M 'P 4/m m m'
_symmetry_Int_Tables_number 123
_symmetry_space_group_name_Hall '-P 4 2'
_cell_length_a 5.326
_cell_length_b 5.326
_cell_length_c 4.127
_cell_angle_alpha 90.00
_cell_angle_beta 90.00
_cell_angle_gamma 90.00
loop_
_atom_site_label
_atom_site_type_symbol
_atom_site_fract_x
_atom_site_fract_y
_atom_site_fract_z
Rb1 Rb 0.000 0.000 0.000
Sc1 Sc 0.500 0.500 0.500
P1 P 0.000 0.500 0.500
O1 O 0.500 0.500 0.000

=====

Record 4
# Nd2SiPbO6 | Alexandria via LeMat-Bulk | PBE | relaxed
# E_tot   -7.350 eV per atom
# N(E_F)   0.000 states/eV/cell
# Formation energy (no corrections)   -242.0 kJ per mole of atoms
# Total moment   0.000 μB/f.u.
data_Nd2SiPbO6
_symmetry_space_group_name_H-M 'P 4 m m'
_symmetry_Int_Tables_number 99
_cell_length_a 5.440
_cell_length_b 5.440
_cell_length_c 5.262
_cell_angle_alpha 90.00
_cell_angle_beta 90.00
_cell_angle_gamma 90.00
loop_
_symmetry_equiv_pos_as_xyz
'x,y,z'
'-y,x,z'
'-x,-y,z'
'y,-x,z'
'-x,y,z'
'y,x,z'
'x,-y,z'
'-y,-x,z'
loop_
_atom_site_label
_atom_site_type_symbol
_atom_site_fract_x
_atom_site_fract_y
_atom_site_fract_z
Nd1 Nd 0.000 0.500 0.000
Si1 Si 0.000 0.000 0.632
Pb1 Pb 0.500 0.500 0.546
O1 O 0.000 0.000 0.314
O2 O 0.217 0.217 0.746
O3 O 0.500 0.500 0.088

=====

Question: N(E_F) of number 4 (Nd2SiPbO6)?
Answer: 0.000 states/eV/cell

=====

Please write out number 4 again, unchanged.
# Nd2SiPbO6 | Alexandria via LeMat-Bulk | PBE | relaxed
# E_tot   -7.350 eV per atom
# N(E_F)   0.000 states/eV/cell
# Formation energy (no corrections)   -242.0 kJ per mole of atoms
# Total moment   0.000 μB/f.u.
data_Nd2SiPbO6
_symmetry_space_group_name_H-M 'P 4 m m'
_symmetry_Int_Tables_number 99
_cell_length_a 5.440
_cell_length_b 5.440
_cell_length_c 5.262
_cell_angle_alpha 90.00
_cell_angle_beta 90.00
_cell_angle_gamma 90.00
loop_
_symmetry_equiv_pos_as_xyz
'x,y,z'
'-y,x,z'
'-x,-y,z'
'y,-x,z'
'-x,y,z'
'y,x,z'
'x,-y,z'
'-y,-x,z'
loop_
_atom_site_label
_atom_site_type_symbol
_atom_site_fract_x
_atom_site_fract_y
_atom_site_fract_z
Nd1 Nd 0.000 0.500 0.000
Si1 Si 0.000 0.000 0.632
Pb1 Pb 0.500 0.500 0.546
O1 O 0.000 0.000 0.314
O2 O 0.217 0.217 0.746
O3 O 0.500 0.500 0.088